1.
First-principles (PBE) data for SrAcNi after structural relaxation, as listed in Alexandria.

Unit cell a=5.1942 b=5.1942 c=5.1942 alpha=60.00 beta=60.00 gamma=60.00
Positions (direct):
Sr: 0.0000 0.0000 0.0000
Ac: 0.5000 0.5000 0.5000
Ni: 0.2500 0.2500 0.2500

Calculated values
Calculated volume = 99 Å³/f.u.
Energy above the lowest structure with this stoichiometry = 0.68 eV/f.u.
Symmetry = F-43m, No. 216
ΔH_f (0 K) = 0.068 eV/atom

***

2.
First-principles (PBE) data for SrAcTlNi after structural relaxation, as listed in Alexandria.

Unit cell a=5.5393 b=5.5393 c=5.5393 alpha=60.00 beta=60.00 gamma=60.00
Positions (direct):
Sr: 0.0000 0.0000 0.0000
Ac: 0.5000 0.5000 0.5000
Tl: 0.7500 0.7500 0.7500
Ni: 0.2500 0.2500 0.2500

Calculated values
Calculated volume = 120 Å³/f.u.
Symmetry = F-43m, No. 216
ΔH_f (0 K) = -0.079 eV/atom

***

3.
First-principles (PBE) data for AcTb2Ni6 after structural relaxation, as listed in Alexandria.

Unit cell a=6.9862 b=6.9862 c=3.9527 alpha=90.00 beta=90.00 gamma=120.00
Positions (direct):
Ac: 0.0000 0.0000 0.0000
Tb: 0.3333 0.6667 0.0000
Tb: 0.6667 0.3333 0.0000
Ni: 0.0000 0.3374 0.5000
Ni: 0.0000 0.6626 0.5000
Ni: 0.3374 0.0000 0.5000
Ni: 0.3374 0.3374 0.5000
Ni: 0.6626 0.0000 0.5000
Ni: 0.6626 0.6626 0.5000

Calculated values
Calculated volume = 167 Å³/f.u.
Symmetry = P6/mmm, No. 191
ΔH_f (0 K) = -0.325 eV/atom

***

4.
First-principles (PBE) data for Ac2TbNi9 after structural relaxation, as listed in Alexandria.

Unit cell a=9.0424 b=9.0424 c=9.0424 alpha=32.50 beta=32.50 gamma=32.50
Positions (direct):
Ac: 0.1352 0.1352 0.1352
Ac: 0.8648 0.8648 0.8648
Tb: 0.0000 0.0000 0.0000
Ni: 0.0781 0.5759 0.5759
Ni: 0.3327 0.3327 0.3327
Ni: 0.4241 0.4241 0.9219
Ni: 0.4241 0.9219 0.4241
Ni: 0.5000 0.5000 0.5000
Ni: 0.5759 0.0781 0.5759
Ni: 0.5759 0.5759 0.0781
Ni: 0.6673 0.6673 0.6673
Ni: 0.9219 0.4241 0.4241

Calculated values
Calculated volume = 190 Å³/f.u.
Symmetry = R-3m, No. 166
ΔH_f (0 K) = -0.244 eV/atom

***

5.
First-principles (PBE) data for AcTbNi10 after structural relaxation, as listed in Alexandria.

Unit cell a=3.9727 b=4.9839 c=8.6631 alpha=90.00 beta=90.00 gamma=90.00
Positions (direct):
Ac: 0.0000 0.0000 0.0000
Tb: 0.0000 0.5000 0.5000
Ni: 0.0000 0.0000 0.3415
Ni: 0.0000 0.0000 0.6585
Ni: 0.0000 0.5000 0.1771
Ni: 0.0000 0.5000 0.8229
Ni: 0.5000 0.0000 0.5000
Ni: 0.5000 0.2539 0.2588
Ni: 0.5000 0.2539 0.7412
Ni: 0.5000 0.5000 0.0000
Ni: 0.5000 0.7461 0.2588
Ni: 0.5000 0.7461 0.7412

Calculated values
Calculated volume = 172 Å³/f.u.
Symmetry = Pmmm, No. 47
ΔH_f (0 K) = -0.264 eV/atom

***

6.
First-principles (PBE) data for AcTbNi3 after structural relaxation, as listed in Alexandria.

Unit cell a=12.4304 b=12.4304 c=4.0909 alpha=90.00 beta=90.00 gamma=161.02
Positions (direct):
Ac: 0.0737 0.9263 0.7500
Ac: 0.9263 0.0737 0.2500
Tb: 0.2061 0.7939 0.2500
Tb: 0.7939 0.2061 0.7500
Ni: 0.3210 0.6790 0.2500
Ni: 0.3741 0.6259 0.7500
Ni: 0.4734 0.5266 0.7500
Ni: 0.5266 0.4734 0.2500
Ni: 0.6259 0.3741 0.2500
Ni: 0.6790 0.3210 0.7500

Calculated values
Calculated volume = 103 Å³/f.u.
Symmetry = Cmcm, No. 63
ΔH_f (0 K) = -0.335 eV/atom

***

7.
First-principles (PBE) data for AcTbNi4 after structural relaxation, as listed in Alexandria.

Unit cell a=5.2133 b=5.2133 c=5.2133 alpha=60.00 beta=60.00 gamma=60.00
Positions (direct):
Ac: 0.0000 0.0000 0.0000
Tb: 0.7500 0.7500 0.7500
Ni: 0.3760 0.3760 0.3760
Ni: 0.3760 0.3760 0.8721
Ni: 0.3760 0.8721 0.3760
Ni: 0.8721 0.3760 0.3760

Calculated values
Calculated volume = 100 Å³/f.u.
Energy above the lowest structure with this stoichiometry = 0.00 eV/f.u.
Symmetry = F-43m, No. 216
ΔH_f (0 K) = -0.277 eV/atom

***

8.
First-principles (PBE) data for AcTbNi4 after structural relaxation, as listed in Alexandria.

Unit cell a=5.1973 b=5.1973 c=8.6860 alpha=90.00 beta=90.00 gamma=120.00
Positions (direct):
Ac: 0.3333 0.6667 0.0809
Ac: 0.6667 0.3333 0.9191
Tb: 0.3333 0.6667 0.4501
Tb: 0.6667 0.3333 0.5499
Ni: 0.0000 0.0000 0.0000
Ni: 0.0000 0.0000 0.5000
Ni: 0.1635 0.3269 0.7346
Ni: 0.1635 0.8365 0.7346
Ni: 0.3269 0.1635 0.2654
Ni: 0.6731 0.8365 0.7346
Ni: 0.8365 0.1635 0.2654
Ni: 0.8365 0.6731 0.2654

Calculated values
Calculated volume = 102 Å³/f.u.
Energy above the lowest structure with this stoichiometry = 0.09 eV/f.u.
Symmetry = P-3m1, No. 164
ΔH_f (0 K) = -0.262 eV/atom

***

9.
First-principles (PBE) data for Ac8Tc2Ni after structural relaxation, as listed in Alexandria.

Unit cell a=8.2266 b=8.2266 c=7.0653 alpha=103.75 beta=103.75 gamma=64.52
Positions (direct):
Ac: 0.1092 0.1092 0.2546
Ac: 0.1327 0.6001 0.2357
Ac: 0.3688 0.3688 0.7431
Ac: 0.3999 0.8673 0.7643
Ac: 0.6001 0.1327 0.2357
Ac: 0.6312 0.6312 0.2569
Ac: 0.8673 0.3999 0.7643
Ac: 0.8908 0.8908 0.7454
Tc: 0.2143 0.2143 0.9702
Tc: 0.7857 0.7857 0.0298
Ni: 0.5000 0.5000 0.5000

Calculated values
Calculated volume = 414 Å³/f.u.
Symmetry = C2/m, No. 12
ΔH_f (0 K) = 0.057 eV/atom

***

10.
First-principles (PBE) data for Ac8TcNi2 after structural relaxation, as listed in Alexandria.

Unit cell a=7.8273 b=7.8273 c=7.7853 alpha=91.08 beta=91.08 gamma=59.67
Positions (direct):
Ac: 0.2088 0.7141 0.7400
Ac: 0.2159 0.2159 0.5958
Ac: 0.2859 0.7912 0.2600
Ac: 0.2939 0.2939 0.1121
Ac: 0.7061 0.7061 0.8879
Ac: 0.7141 0.2088 0.7400
Ac: 0.7841 0.7841 0.4042
Ac: 0.7912 0.2859 0.2600
Tc: 0.5000 0.5000 0.0000
Ni: 0.4071 0.4071 0.4438
Ni: 0.5929 0.5929 0.5562

Calculated values
Calculated volume = 412 Å³/f.u.
Symmetry = C2/m, No. 12
ΔH_f (0 K) = -0.007 eV/atom

***

11.
First-principles (PBE) data for Ac3NiTe after structural relaxation, as listed in Alexandria.

Unit cell a=5.7133 b=5.7133 c=5.7133 alpha=90.00 beta=90.00 gamma=90.00
Positions (direct):
Ac: 0.0000 0.0000 0.5000
Ac: 0.0000 0.5000 0.0000
Ac: 0.5000 0.0000 0.0000
Ni: 0.0000 0.0000 0.0000
Te: 0.5000 0.5000 0.5000

Calculated values
Formation energy without anion corrections = -0.418 eV per atom
Calculated volume = 186 Å³/f.u.
Energy above the lowest structure with this stoichiometry = 1.19 eV/f.u.
Symmetry = Pm-3m, No. 221

***

12.
First-principles (PBE) data for Ac3NiTe after structural relaxation, as listed in Alexandria.

Unit cell a=8.7425 b=4.2992 c=9.5067 alpha=90.00 beta=104.67 gamma=90.00
Positions (direct):
Ac: 0.0753 0.2500 0.2634
Ac: 0.3021 0.2500 0.9436
Ac: 0.3084 0.7500 0.5885
Ac: 0.6916 0.2500 0.4115
Ac: 0.6979 0.7500 0.0564
Ac: 0.9247 0.7500 0.7366
Ni: 0.0600 0.2500 0.5830
Ni: 0.9400 0.7500 0.4170
Te: 0.3903 0.7500 0.2394
Te: 0.6097 0.2500 0.7606

Calculated values
Formation energy without anion corrections = -0.655 eV per atom
Calculated volume = 173 Å³/f.u.
Energy above the lowest structure with this stoichiometry = 0.00 eV/f.u.
Symmetry = P2_1/m, No. 11

***

no.,theoretical density (g/cm³),calculated total energy (eV per atom)
1,6.26,-3.789
2,7.98,-3.564
3,8.92,-5.664
4,9.98,-5.651
5,9.42,-5.810
6,9.08,-5.552
7,10.29,-5.588
8,10.15,-5.573
9,8.30,-5.341
10,8.20,-4.989
11,7.72,-4.667
12,8.33,-4.905